# PBE MnSiCl, relaxed
# formation energy without anion corrections = 40.7 kJ per mole of atoms
# energy = -5.058 eV/atom
# Fermi-level density of states = 0.513 states/eV/atom
data_MnSiCl
_chemical_formula_sum 'Mn4 Si4 Cl4'
_symmetry_space_group_name_H-M 'F -4 3 m'
_symmetry_Int_Tables_number 216
_symmetry_space_group_name_Hall 'F -4 2 3'
_cell_length_a 6.061
_cell_length_b 6.061
_cell_length_c 6.061
_cell_angle_alpha 90.00
_cell_angle_beta 90.00
_cell_angle_gamma 90.00
loop_
_atom_site_label
_atom_site_type_symbol
_atom_site_fract_x
_atom_site_fract_y
_atom_site_fract_z
Mn1 Mn 0.000 0.000 0.000
Si1 Si 0.250 0.250 0.250
Cl1 Cl 0.250 0.250 0.750

---

# PBE MnSiCl, relaxed
# formation energy without anion corrections = 70.9 kJ per mole of atoms
# energy = -4.745 eV/atom
# Fermi-level density of states = 1.110 states/eV/atom
data_MnSiCl
_chemical_formula_sum 'Mn4 Si4 Cl4'
_symmetry_space_group_name_H-M 'F -4 3 m'
_symmetry_Int_Tables_number 216
_symmetry_space_group_name_Hall 'F -4 2 3'
_cell_length_a 6.337
_cell_length_b 6.337
_cell_length_c 6.337
_cell_angle_alpha 90.00
_cell_angle_beta 90.00
_cell_angle_gamma 90.00
loop_
_atom_site_label
_atom_site_type_symbol
_atom_site_fract_x
_atom_site_fract_y
_atom_site_fract_z
Mn1 Mn 0.000 0.000 0.000
Si1 Si 0.250 0.250 0.250
Cl1 Cl 0.000 0.000 0.500

---

# PBE MnSiCl2, relaxed
# formation energy without anion corrections = 5.5 kJ per mole of atoms
# energy = -4.514 eV/atom
# Fermi-level density of states = 0.195 states/eV/atom
data_MnSiCl2
_chemical_formula_sum 'Mn4 Si4 Cl8'
_symmetry_space_group_name_H-M 'F m m m'
_symmetry_Int_Tables_number 69
_symmetry_space_group_name_Hall '-F 2 2'
_cell_length_a 6.053
_cell_length_b 7.423
_cell_length_c 7.488
_cell_angle_alpha 90.00
_cell_angle_beta 90.00
_cell_angle_gamma 90.00
loop_
_atom_site_label
_atom_site_type_symbol
_atom_site_fract_x
_atom_site_fract_y
_atom_site_fract_z
Mn1 Mn 0.000 0.000 0.000
Si1 Si 0.000 0.000 0.500
Cl1 Cl 0.000 0.250 0.250

---

# PBE MnSiCl2, relaxed
# formation energy without anion corrections = -38.6 kJ per mole of atoms
# energy = -4.972 eV/atom
# Fermi-level density of states = 0.441 states/eV/atom
data_MnSiCl2
_chemical_formula_sum 'Mn1 Si1 Cl2'
_symmetry_space_group_name_H-M 'P 4 m m'
_symmetry_Int_Tables_number 99
_cell_length_a 3.291
_cell_length_b 3.291
_cell_length_c 8.489
_cell_angle_alpha 90.00
_cell_angle_beta 90.00
_cell_angle_gamma 90.00
loop_
_symmetry_equiv_pos_as_xyz
'x,y,z'
'-y,x,z'
'-x,-y,z'
'y,-x,z'
'-x,y,z'
'y,x,z'
'x,-y,z'
'-y,-x,z'
loop_
_atom_site_label
_atom_site_type_symbol
_atom_site_fract_x
_atom_site_fract_y
_atom_site_fract_z
Mn1 Mn 0.000 0.000 0.000
Si1 Si 0.500 0.500 0.886
Cl1 Cl 0.000 0.000 0.252
Cl2 Cl 0.500 0.500 0.645

---

# PBE MnSiCl2, relaxed
# formation energy without anion corrections = 22.0 kJ per mole of atoms
# energy = -4.343 eV/atom
# Fermi-level density of states = 1.401 states/eV/atom
data_MnSiCl2
_chemical_formula_sum 'Mn3 Si3 Cl6'
_symmetry_space_group_name_H-M 'R -3 m'
_symmetry_Int_Tables_number 166
_symmetry_space_group_name_Hall '-R 3 2"'
_cell_length_a 3.1017
_cell_length_b 3.1017
_cell_length_c 31.9417
_cell_angle_alpha 90.00
_cell_angle_beta 90.00
_cell_angle_gamma 120.00
loop_
_atom_site_label
_atom_site_type_symbol
_atom_site_fract_x
_atom_site_fract_y
_atom_site_fract_z
Mn1 Mn 0.0000 0.0000 0.0000
Si1 Si 0.0000 0.0000 0.5000
Cl1 Cl 0.0000 0.0000 0.3785

---

# PBE MnSiCl2, relaxed
# formation energy without anion corrections = 46.1 kJ per mole of atoms
# energy = -4.094 eV/atom
# Fermi-level density of states = 0.807 states/eV/atom
data_MnSiCl2
_chemical_formula_sum 'Mn3 Si3 Cl6'
_symmetry_space_group_name_H-M 'R -3 m'
_symmetry_Int_Tables_number 166
_symmetry_space_group_name_Hall '-R 3 2"'
_cell_length_a 3.0049
_cell_length_b 3.0049
_cell_length_c 26.5608
_cell_angle_alpha 90.00
_cell_angle_beta 90.00
_cell_angle_gamma 120.00
loop_
_atom_site_label
_atom_site_type_symbol
_atom_site_fract_x
_atom_site_fract_y
_atom_site_fract_z
Mn1 Mn 0.0000 0.0000 0.0000
Si1 Si 0.0000 0.0000 0.5000
Cl1 Cl 0.0000 0.0000 0.0801

---

# PBE MnSiCl2, relaxed
# formation energy without anion corrections = 23.5 kJ per mole of atoms
# energy = -4.328 eV/atom
# Fermi-level density of states = 0.643 states/eV/atom
data_MnSiCl2
_chemical_formula_sum 'Mn2 Si2 Cl4'
_symmetry_space_group_name_H-M 'I -4 m 2'
_symmetry_Int_Tables_number 119
_symmetry_space_group_name_Hall 'I -4 -2'
_cell_length_a 3.729
_cell_length_b 3.729
_cell_length_c 11.990
_cell_angle_alpha 90.00
_cell_angle_beta 90.00
_cell_angle_gamma 90.00
loop_
_atom_site_label
_atom_site_type_symbol
_atom_site_fract_x
_atom_site_fract_y
_atom_site_fract_z
Mn1 Mn 0.000 0.000 0.000
Si1 Si 0.000 0.500 0.750
Cl1 Cl 0.000 0.000 0.500
Cl2 Cl 0.000 0.500 0.250

---

# PBE MnSiCl2, relaxed
# formation energy without anion corrections = 2.0 kJ per mole of atoms
# energy = -4.550 eV/atom
# Fermi-level density of states = 0.597 states/eV/atom
data_MnSiCl2
_chemical_formula_sum 'Mn2 Si2 Cl4'
_symmetry_space_group_name_H-M 'C m m m'
_symmetry_Int_Tables_number 65
_symmetry_space_group_name_Hall '-C 2 2'
_cell_length_a 3.232
_cell_length_b 5.940
_cell_length_c 8.970
_cell_angle_alpha 90.00
_cell_angle_beta 90.00
_cell_angle_gamma 90.00
loop_
_atom_site_label
_atom_site_type_symbol
_atom_site_fract_x
_atom_site_fract_y
_atom_site_fract_z
Mn1 Mn 0.000 0.000 0.000
Si1 Si 0.000 0.000 0.500
Cl1 Cl 0.000 0.500 0.199

---

# PBE MnSiTe2Cl, relaxed
# formation energy without anion corrections = 148.2 kJ per mole of atoms
# energy = -3.008 eV/atom
# Fermi-level density of states = 1.210 states/eV/atom
data_MnSiTe2Cl
_chemical_formula_sum 'Mn1 Si1 Te2 Cl1'
_symmetry_space_group_name_H-M 'P 4/m m m'
_symmetry_Int_Tables_number 123
_symmetry_space_group_name_Hall '-P 4 2'
_cell_length_a 5.397
_cell_length_b 5.397
_cell_length_c 4.637
_cell_angle_alpha 90.00
_cell_angle_beta 90.00
_cell_angle_gamma 90.00
loop_
_atom_site_label
_atom_site_type_symbol
_atom_site_fract_x
_atom_site_fract_y
_atom_site_fract_z
Mn1 Mn 0.000 0.000 0.000
Si1 Si 0.500 0.500 0.000
Te1 Te 0.000 0.500 0.500
Cl1 Cl 0.500 0.500 0.500

---

# PBE TiMn2SiCl, relaxed
# formation energy without anion corrections = 87.3 kJ per mole of atoms
# energy = -5.796 eV/atom
# Fermi-level density of states = 1.052 states/eV/atom
data_TiMn2SiCl
_chemical_formula_sum 'Ti1 Mn2 Si1 Cl1'
_symmetry_space_group_name_H-M 'P 4/m m m'
_symmetry_Int_Tables_number 123
_symmetry_space_group_name_Hall '-P 4 2'
_cell_length_a 4.875
_cell_length_b 4.875
_cell_length_c 4.411
_cell_angle_alpha 90.00
_cell_angle_beta 90.00
_cell_angle_gamma 90.00
loop_
_atom_site_label
_atom_site_type_symbol
_atom_site_fract_x
_atom_site_fract_y
_atom_site_fract_z
Ti1 Ti 0.000 0.000 0.000
Mn1 Mn 0.000 0.500 0.000
Si1 Si 0.500 0.500 0.500
Cl1 Cl 0.000 0.000 0.500

---

# PBE MnVSi2Cl, relaxed
# formation energy without anion corrections = 66.7 kJ per mole of atoms
# energy = -5.505 eV/atom
# Fermi-level density of states = 0.821 states/eV/atom
data_MnVSi2Cl
_chemical_formula_sum 'Mn1 V1 Si2 Cl1'
_symmetry_space_group_name_H-M 'P 4/m m m'
_symmetry_Int_Tables_number 123
_symmetry_space_group_name_Hall '-P 4 2'
_cell_length_a 4.689
_cell_length_b 4.689
_cell_length_c 4.766
_cell_angle_alpha 90.00
_cell_angle_beta 90.00
_cell_angle_gamma 90.00
loop_
_atom_site_label
_atom_site_type_symbol
_atom_site_fract_x
_atom_site_fract_y
_atom_site_fract_z
Mn1 Mn 0.000 0.000 0.000
V1 V 0.000 0.000 0.500
Si1 Si 0.000 0.500 0.500
Cl1 Cl 0.500 0.500 0.000

---

# PBE ZrMnSiCl2, relaxed
# formation energy without anion corrections = -3.3 kJ per mole of atoms
# energy = -5.401 eV/atom
# Fermi-level density of states = 0.350 states/eV/atom
data_ZrMnSiCl2
_chemical_formula_sum 'Zr1 Mn1 Si1 Cl2'
_symmetry_space_group_name_H-M 'P 4/m m m'
_symmetry_Int_Tables_number 123
_symmetry_space_group_name_Hall '-P 4 2'
_cell_length_a 4.888
_cell_length_b 4.888
_cell_length_c 5.533
_cell_angle_alpha 90.00
_cell_angle_beta 90.00
_cell_angle_gamma 90.00
loop_
_atom_site_label
_atom_site_type_symbol
_atom_site_fract_x
_atom_site_fract_y
_atom_site_fract_z
Zr1 Zr 0.000 0.000 0.000
Mn1 Mn 0.500 0.500 0.500
Si1 Si 0.000 0.000 0.500
Cl1 Cl 0.000 0.500 0.000

---

Number 1: magnetization 2.5 μB/f.u.. Number 2: magnetization 3.6 μB/f.u.. Number 3: magnetization 4.9 μB/f.u.. Number 4: magnetization 3.5 μB/f.u.. Number 5: magnetization 0.0 μB/f.u.. Number 6: magnetization 0.0 μB/f.u.. Number 7: magnetization 4.4 μB/f.u.. Number 8: magnetization 4.5 μB/f.u.. Number 9: magnetization 0.0 μB/f.u.. Number 10: magnetization 5.6 μB/f.u.. Number 11: magnetization 2.1 μB/f.u.. Number 12: magnetization 4.9 μB/f.u..